## MgFe2B (PBE-GGA)

Data for a relaxed MgFe2B crystal.

Geometry as POSCAR:
```
MgFe2B
1.0
0.000 2.748 2.748
2.748 0.000 2.748
2.748 2.748 0.000
Mg Fe B
1 2 1
Direct
0.000 0.000 0.000
0.250 0.250 0.250
0.500 0.500 0.500
0.750 0.750 0.750
```

## Properties
* total energy: -5.82 eV/atom